(1)
Material: YCl3O
Method: DFT, GGA-PBE
State: optimized geometry

abc: 4.565 4.565 4.565
angles: 90.00 90.00 90.00
Element x y z (fractional)
Y 0.000 0.000 0.000
Cl 0.000 0.500 0.500
Cl 0.500 0.000 0.500
Cl 0.500 0.500 0.000
O 0.500 0.500 0.500

Results
size of the total moment	0.00	μB per formula unit
energy above the lowest structure with this stoichiometry	0.722	eV per atom
calculated density	3.7	g/cm³
density of states at the Fermi level	3.1	states/eV per cell
formation energy from raw total energies	-0.396	eV per atom

(2)
Material: Pm2PrDyBi5
Method: DFT, GGA-PBE
State: optimized geometry

abc: 5.597 5.597 11.969
angles: 90.00 90.00 90.00
Element x y z (fractional)
Pm 0.000 0.000 0.226
Pm 0.000 0.000 0.774
Pr 0.500 0.500 0.000
Dy 0.500 0.500 0.500
Bi 0.000 0.000 0.500
Bi 0.000 0.500 0.000
Bi 0.500 0.000 0.000
Bi 0.500 0.500 0.258
Bi 0.500 0.500 0.742

Results
size of the total moment	0.00	μB per formula unit
ΔE_f	0.041	eV/atom
calculated density	7.3	g/cm³
density of states at the Fermi level	6.1	states/eV per cell

(3)
Material: NaPaB12
Method: DFT, GGA-PBE
State: optimized geometry

abc: 4.104 4.104 8.261
angles: 90.00 90.00 90.00
Element x y z (fractional)
Na 0.000 0.000 0.000
Pa 0.000 0.000 0.500
B 0.200 0.500 0.253
B 0.200 0.500 0.747
B 0.500 0.200 0.253
B 0.500 0.200 0.747
B 0.500 0.500 0.101
B 0.500 0.500 0.402
B 0.500 0.500 0.598
B 0.500 0.500 0.899
B 0.500 0.800 0.253
B 0.500 0.800 0.747
B 0.800 0.500 0.253
B 0.800 0.500 0.747

Results
size of the total moment	1.06	μB per formula unit
ΔE_f	-0.259	eV/atom
calculated density	4.6	g/cm³
density of states at the Fermi level	5.4	states/eV per cell

- size of the total moment of number 2 (Pm2PrDyBi5)?
  0.00 μB per formula unit